The following is a PBE calculation of crystalline LiS at its relaxed geometry, from Alexandria via LeMat-Bulk.

Cell and atoms, written as CIF:
```
data_LiS
_cell_length_a 6.760
_cell_length_b 6.760
_cell_length_c 6.760
_cell_angle_alpha 90.00
_cell_angle_beta 90.00
_cell_angle_gamma 90.00
_symmetry_space_group_name_H-M 'P m -3 n'
_symmetry_Int_Tables_number 223
_symmetry_space_group_name_Hall '-P 4n 2 3'
loop_
_atom_site_label
_atom_site_fract_x
_atom_site_fract_y
_atom_site_fract_z
Li1 0.000 0.250 0.500
S1 0.000 0.500 0.250
```

Formation energy from raw total energies, eV per atom: -0.320
Polymorph energy (0 for the lowest one), kJ/mol of formula units: 112

***

The following is a PBE calculation of crystalline CoW2Br8 at its relaxed geometry, from Alexandria via LeMat-Bulk.

Cell and atoms, written as CIF:
```
data_CoW2Br8
_cell_length_a 9.116
_cell_length_b 11.939
_cell_length_c 7.668
_cell_angle_alpha 90.00
_cell_angle_beta 102.53
_cell_angle_gamma 90.00
_symmetry_space_group_name_H-M 'C 1 2/m 1'
_symmetry_Int_Tables_number 12
loop_
_symmetry_equiv_pos_as_xyz
'x,y,z'
'-x,-y,-z'
'-x,y,-z'
'x,-y,z'
'x+1/2,y+1/2,z'
'-x+1/2,-y+1/2,-z'
'-x+1/2,y+1/2,-z'
'x+1/2,-y+1/2,z'
loop_
_atom_site_label
_atom_site_fract_x
_atom_site_fract_y
_atom_site_fract_z
Co1 0.000 0.000 0.000
W1 0.056 0.000 0.658
Br1 0.053 0.196 0.761
Br2 0.175 0.500 0.318
Br3 0.212 0.000 0.234
```

Formation energy from raw total energies, eV per atom: -0.239

***

The following is a PBE calculation of crystalline KNaGa3 at its relaxed geometry, from Alexandria via LeMat-Bulk.

Cell and atoms, written as CIF:
```
data_KNaGa3
_cell_length_a 5.866
_cell_length_b 5.866
_cell_length_c 5.866
_cell_angle_alpha 90.00
_cell_angle_beta 90.00
_cell_angle_gamma 90.00
_symmetry_space_group_name_H-M 'P m -3 m'
_symmetry_Int_Tables_number 221
_symmetry_space_group_name_Hall '-P 4 2 3'
loop_
_atom_site_label
_atom_site_fract_x
_atom_site_fract_y
_atom_site_fract_z
K1 0.000 0.000 0.000
Na1 0.500 0.500 0.500
Ga1 0.000 0.000 0.500
```

ΔE_f, meV/atom: 816
Polymorph energy (0 for the lowest one), kJ/mol of formula units: 189

***

The following is a PBE calculation of crystalline Sr4ScMn at its relaxed geometry, from Alexandria via LeMat-Bulk.

Cell and atoms, written as CIF:
```
data_Sr4ScMn
_cell_length_a 10.109
_cell_length_b 10.109
_cell_length_c 10.109
_cell_angle_alpha 90.00
_cell_angle_beta 90.00
_cell_angle_gamma 90.00
_symmetry_space_group_name_H-M 'F -4 3 m'
_symmetry_Int_Tables_number 216
_symmetry_space_group_name_Hall 'F -4 2 3'
loop_
_atom_site_label
_atom_site_fract_x
_atom_site_fract_y
_atom_site_fract_z
Sr1 0.125 0.125 0.125
Sc1 0.000 0.000 0.500
Mn1 0.250 0.250 0.750
```

ΔE_f, meV/atom: 857

***

The following is a PBE calculation of crystalline YRhW3 at its relaxed geometry, from Alexandria via LeMat-Bulk.

Cell and atoms, written as CIF:
```
data_YRhW3
_cell_length_a 4.786
_cell_length_b 4.786
_cell_length_c 4.786
_cell_angle_alpha 90.00
_cell_angle_beta 90.00
_cell_angle_gamma 90.00
_symmetry_space_group_name_H-M 'P m -3 m'
_symmetry_Int_Tables_number 221
_symmetry_space_group_name_Hall '-P 4 2 3'
loop_
_atom_site_label
_atom_site_fract_x
_atom_site_fract_y
_atom_site_fract_z
Y1 0.000 0.000 0.000
Rh1 0.500 0.500 0.500
W1 0.000 0.500 0.500
```

ΔE_f, meV/atom: 1475
Polymorph energy (0 for the lowest one), kJ/mol of formula units: 0

***

The following is a PBE calculation of crystalline Ac2MgTl3 at its relaxed geometry, from Alexandria via LeMat-Bulk.

Cell and atoms, written as CIF:
```
data_Ac2MgTl3
_cell_length_a 5.326
_cell_length_b 6.693
_cell_length_c 11.771
_cell_angle_alpha 90.00
_cell_angle_beta 90.00
_cell_angle_gamma 90.00
_symmetry_space_group_name_H-M 'I m m m'
_symmetry_Int_Tables_number 71
_symmetry_space_group_name_Hall '-I 2 2'
loop_
_atom_site_label
_atom_site_fract_x
_atom_site_fract_y
_atom_site_fract_z
Ac1 0.000 0.000 0.181
Mg1 0.000 0.000 0.500
Tl1 0.000 0.500 0.135
Tl2 0.000 0.500 0.500
```

ΔE_f, meV/atom: -111
Polymorph energy (0 for the lowest one), kJ/mol of formula units: 100

***

| no. | Fermi-level density of states (states/eV/cell) |
| --- | --- |
| 1 | 11.97 |
| 2 | 18.62 |
| 3 | 6.84 |
| 4 | 42.16 |
| 5 | 6.61 |
| 6 | 12.05 |